Entry 1:
A relaxed structure of Hf3Ge. Source: the Alexandria database, functional PBE.

CIF file:
```
data_Hf3Ge
_symmetry_space_group_name_H-M 'I -4'
_symmetry_Int_Tables_number 82
_symmetry_space_group_name_Hall 'I -4'
_cell_length_a 10.981
_cell_length_b 10.981
_cell_length_c 5.445
_cell_angle_alpha 90.00
_cell_angle_beta 90.00
_cell_angle_gamma 90.00
loop_
_atom_site_label
_atom_site_fract_x
_atom_site_fract_y
_atom_site_fract_z
Hf1 0.028 0.359 0.479
Hf2 0.084 0.892 0.279
Hf3 0.182 0.784 0.752
Ge1 0.039 0.294 0.973
```

Results
Calculated volume: 656.6 Å³/cell
Polymorph energy (0 for the lowest one): 2 meV/atom
Total moment: 0.0 μB/cell

Entry 2:
A relaxed structure of Hf3Ge. Source: the Alexandria database, functional PBE.

CIF file:
```
data_Hf3Ge
_symmetry_space_group_name_H-M 'P 42/n'
_symmetry_Int_Tables_number 86
_cell_length_a 10.981
_cell_length_b 10.981
_cell_length_c 5.425
_cell_angle_alpha 90.00
_cell_angle_beta 90.00
_cell_angle_gamma 90.00
loop_
_symmetry_equiv_pos_as_xyz
'x,y,z'
'-x,-y,-z'
'-y,x+1/2,z+1/2'
'y,-x+1/2,-z+1/2'
'-x+1/2,-y+1/2,z'
'x+1/2,y+1/2,-z'
'y+1/2,-x,z+1/2'
'-y+1/2,x,-z+1/2'
loop_
_atom_site_label
_atom_site_fract_x
_atom_site_fract_y
_atom_site_fract_z
Hf1 0.034 0.931 0.245
Hf2 0.109 0.277 0.029
Hf3 0.144 0.832 0.724
Ge1 0.046 0.291 0.536
```

Results
Calculated volume: 654.1 Å³/cell
Polymorph energy (0 for the lowest one): 0 meV/atom
Total moment: 0.0 μB/cell

Entry 3:
A relaxed structure of HfGe. Source: the Alexandria database, functional PBE.

CIF file:
```
data_HfGe
_symmetry_space_group_name_H-M 'P 21 21 21'
_symmetry_Int_Tables_number 19
_symmetry_space_group_name_Hall 'P 2ac 2ab'
_cell_length_a 5.450
_cell_length_b 5.490
_cell_length_c 10.071
_cell_angle_alpha 90.00
_cell_angle_beta 90.00
_cell_angle_gamma 90.00
loop_
_atom_site_label
_atom_site_fract_x
_atom_site_fract_y
_atom_site_fract_z
Hf1 0.120 0.104 0.219
Hf2 0.143 0.381 0.551
Ge1 0.115 0.506 0.809
Ge2 0.155 0.885 0.467
```

Results
Calculated volume: 301.4 Å³/cell
E_tot: -7.807 eV/atom
Total moment: 0.0 μB/cell

Entry 4:
A relaxed structure of HfGe. Source: the Alexandria database, functional PBE.

CIF file:
```
data_HfGe
_symmetry_space_group_name_H-M 'I -4 3 m'
_symmetry_Int_Tables_number 217
_symmetry_space_group_name_Hall 'I -4 2 3'
_cell_length_a 8.338
_cell_length_b 8.338
_cell_length_c 8.338
_cell_angle_alpha 90.00
_cell_angle_beta 90.00
_cell_angle_gamma 90.00
loop_
_atom_site_label
_atom_site_fract_x
_atom_site_fract_y
_atom_site_fract_z
Hf1 0.147 0.147 0.853
Ge1 0.169 0.169 0.169
```

Results
Calculated volume: 579.7 Å³/cell
E_tot: -6.856 eV/atom
Total moment: 0.0 μB/cell